{
  "formula": "Mg2Sn",
  "functional": "PBE",
  "state": "relaxed",
  "magmom_total_mub_per_cell": 0.0,
  "total_energy_ev_per_atom": -2.475,
  "formation_energy_ev_per_fu": -0.23,
  "dos_ef_per_ev_atom": 0.52,
  "vol_a3_per_cell": 142.6,
  "lattice_angstrom": [[2.7383, -4.7429, 0.0000], [2.7383, 4.7429, 0.0000], [0.0000, 0.0000, 5.4886]],
  "species": ["Mg", "Mg", "Mg", "Mg", "Sn", "Sn"],
  "frac_coords": [[0.3443, 0.0126, 0.2500], [0.0126, 0.3443, 0.2500], [0.9874, 0.6557, 0.7500], [0.6557, 0.9874, 0.7500], [0.6732, 0.6732, 0.2500], [0.3268, 0.3268, 0.7500]]
}